No. 1
## Hg2BrF2 (PBE)

Data for Hg2BrF2 after structural relaxation.

Structure (CIF):
```
data_Hg2BrF2
_chemical_formula_sum 'Hg4 Br2 F4'
_cell_length_a 5.621
_cell_length_b 6.838
_cell_length_c 7.629
_cell_angle_alpha 99.08
_cell_angle_beta 99.39
_cell_angle_gamma 113.51
_symmetry_space_group_name_H-M 'P -1'
_symmetry_Int_Tables_number 2
loop_
_symmetry_equiv_pos_as_xyz
'x,y,z'
'-x,-y,-z'
loop_
_atom_site_label
_atom_site_type_symbol
_atom_site_fract_x
_atom_site_fract_y
_atom_site_fract_z
_atom_site_occupancy
Hg1 Hg 0.111 0.001 0.364 1
Hg2 Hg 0.336 0.680 0.948 1
Br1 Br 0.108 0.450 0.270 1
F1 F 0.301 0.277 0.881 1
F2 F 0.368 0.013 0.180 1
```

Output
* excess energy over the best structure of this formula in the dataset: 0.006 eV/atom
* crystal system: triclinic
* E: -22.3 eV per cell
* formation energy (no corrections): -1.028 eV/atom

***

No. 2
## Hg2BrF (PBE)

Data for Hg2BrF after structural relaxation.

Structure (CIF):
```
data_Hg2BrF
_chemical_formula_sum 'Hg6 Br3 F3'
_cell_length_a 5.8812
_cell_length_b 5.8812
_cell_length_c 11.9801
_cell_angle_alpha 90.00
_cell_angle_beta 90.00
_cell_angle_gamma 120.00
_symmetry_space_group_name_H-M 'P 31 2 1'
_symmetry_Int_Tables_number 152
loop_
_symmetry_equiv_pos_as_xyz
'x,y,z'
'-y,x-y,z+1/3'
'-x+y,-x,z+2/3'
'y,x,-z'
'x-y,-y,-z+2/3'
'-x,-x+y,-z+1/3'
loop_
_atom_site_label
_atom_site_type_symbol
_atom_site_fract_x
_atom_site_fract_y
_atom_site_fract_z
_atom_site_occupancy
Hg1 Hg 0.1479 0.4722 0.3538 1
Br1 Br 0.0000 0.6391 0.6667 1
F1 F 0.0000 0.6467 0.1667 1
```

Output
* excess energy over the best structure of this formula in the dataset: 0.266 eV/atom
* crystal system: trigonal
* E: -18.6 eV per cell
* formation energy (no corrections): -0.515 eV/atom

***

No. 3
## Hg3BrF (PBE)

Data for Hg3BrF after structural relaxation.

Structure (CIF):
```
data_Hg3BrF
_chemical_formula_sum 'Hg6 Br2 F2'
_cell_length_a 5.344
_cell_length_b 8.588
_cell_length_c 6.884
_cell_angle_alpha 90.00
_cell_angle_beta 90.00
_cell_angle_gamma 90.00
_symmetry_space_group_name_H-M 'I m m 2'
_symmetry_Int_Tables_number 44
loop_
_symmetry_equiv_pos_as_xyz
'x,y,z'
'-x,-y,z'
'-x,y,z'
'x,-y,z'
'x+1/2,y+1/2,z+1/2'
'-x+1/2,-y+1/2,z+1/2'
'-x+1/2,y+1/2,z+1/2'
'x+1/2,-y+1/2,z+1/2'
loop_
_atom_site_label
_atom_site_type_symbol
_atom_site_fract_x
_atom_site_fract_y
_atom_site_fract_z
_atom_site_occupancy
Hg1 Hg 0.000 0.000 0.000 1
Hg2 Hg 0.000 0.286 0.841 1
Br1 Br 0.000 0.000 0.414 1
F1 F 0.000 0.500 0.627 1
```

Output
* excess energy over the best structure of this formula in the dataset: 0.000 eV/atom
* crystal system: orthorhombic
* E: -14.8 eV per cell
* formation energy (no corrections): -0.591 eV/atom

***

No. 4
## HgBrF5 (PBE)

Data for HgBrF5 after structural relaxation.

Structure (CIF):
```
data_HgBrF5
_chemical_formula_sum 'Hg2 Br2 F10'
_cell_length_a 5.486
_cell_length_b 5.556
_cell_length_c 8.448
_cell_angle_alpha 75.71
_cell_angle_beta 88.59
_cell_angle_gamma 79.94
_symmetry_space_group_name_H-M 'P -1'
_symmetry_Int_Tables_number 2
loop_
_symmetry_equiv_pos_as_xyz
'x,y,z'
'-x,-y,-z'
loop_
_atom_site_label
_atom_site_type_symbol
_atom_site_fract_x
_atom_site_fract_y
_atom_site_fract_z
_atom_site_occupancy
Hg1 Hg 0.000 0.000 0.000 1
Hg2 Hg 0.000 0.000 0.500 1
Br1 Br 0.447 0.450 0.250 1
F1 F 0.080 0.052 0.758 1
F2 F 0.170 0.497 0.110 1
F3 F 0.259 0.610 0.597 1
F4 F 0.351 0.126 0.366 1
F5 F 0.489 0.238 0.875 1
```

Output
* crystal system: triclinic
* E: -38.3 eV per cell
* formation energy (no corrections): -1.115 eV/atom

***

No. 5
## HgBr2F (PBE)

Data for HgBr2F after structural relaxation.

Structure (CIF):
```
data_HgBr2F
_chemical_formula_sum 'Hg4 Br8 F4'
_cell_length_a 7.022
_cell_length_b 7.022
_cell_length_c 9.324
_cell_angle_alpha 90.00
_cell_angle_beta 90.00
_cell_angle_gamma 90.00
_symmetry_space_group_name_H-M 'I -4 2 d'
_symmetry_Int_Tables_number 122
_symmetry_space_group_name_Hall 'I -4 2bw'
loop_
_atom_site_label
_atom_site_type_symbol
_atom_site_fract_x
_atom_site_fract_y
_atom_site_fract_z
_atom_site_occupancy
Hg1 Hg 0.000 0.000 0.000 1
Br1 Br 0.240 0.250 0.125 1
F1 F 0.000 0.000 0.500 1
```

Output
* excess energy over the best structure of this formula in the dataset: 0.305 eV/atom
* crystal system: tetragonal
* E: -25.9 eV per cell
* formation energy (no corrections): -0.238 eV/atom

***

No. 6
## Hg2Br2F (PBE)

Data for Hg2Br2F after structural relaxation.

Structure (CIF):
```
data_Hg2Br2F
_chemical_formula_sum 'Hg4 Br4 F2'
_cell_length_a 6.666
_cell_length_b 6.845
_cell_length_c 7.767
_cell_angle_alpha 93.78
_cell_angle_beta 91.83
_cell_angle_gamma 93.90
_symmetry_space_group_name_H-M 'P 1'
_symmetry_Int_Tables_number 1
loop_
_symmetry_equiv_pos_as_xyz
'x,y,z'
loop_
_atom_site_label
_atom_site_type_symbol
_atom_site_fract_x
_atom_site_fract_y
_atom_site_fract_z
_atom_site_occupancy
Hg1 Hg 0.000 0.000 0.000 1
Hg2 Hg 0.040 0.899 0.486 1
Hg3 Hg 0.338 0.430 0.764 1
Hg4 Hg 0.660 0.795 0.528 1
Br1 Br 0.085 0.551 0.966 1
Br2 Br 0.253 0.105 0.249 1
Br3 Br 0.626 0.343 0.587 1
Br4 Br 0.634 0.908 0.925 1
F1 F 0.154 0.095 0.750 1
F2 F 0.333 0.730 0.540 1
```

Output
* excess energy over the best structure of this formula in the dataset: 0.013 eV/atom
* crystal system: triclinic
* E: -18.7 eV per cell
* formation energy (no corrections): -0.707 eV/atom

***

No. 7
## Hg3BrF (PBE)

Data for Hg3BrF after structural relaxation.

Structure (CIF):
```
data_Hg3BrF
_chemical_formula_sum 'Hg3 Br1 F1'
_cell_length_a 5.169
_cell_length_b 5.169
_cell_length_c 5.169
_cell_angle_alpha 90.00
_cell_angle_beta 90.00
_cell_angle_gamma 90.00
_symmetry_space_group_name_H-M 'P m -3 m'
_symmetry_Int_Tables_number 221
_symmetry_space_group_name_Hall '-P 4 2 3'
loop_
_atom_site_label
_atom_site_type_symbol
_atom_site_fract_x
_atom_site_fract_y
_atom_site_fract_z
_atom_site_occupancy
Hg1 Hg 0.000 0.000 0.500 1
Br1 Br 0.500 0.500 0.500 1
F1 F 0.000 0.000 0.000 1
```

Output
* excess energy over the best structure of this formula in the dataset: 0.409 eV/atom
* crystal system: cubic
* E: -5.4 eV per cell
* formation energy (no corrections): -0.182 eV/atom

***

No. 8
## Hg2BrF2 (PBE)

Data for Hg2BrF2 after structural relaxation.

Structure (CIF):
```
data_Hg2BrF2
_chemical_formula_sum 'Hg4 Br2 F4'
_cell_length_a 6.264
_cell_length_b 6.377
_cell_length_c 6.768
_cell_angle_alpha 62.20
_cell_angle_beta 78.30
_cell_angle_gamma 76.18
_symmetry_space_group_name_H-M 'P 1'
_symmetry_Int_Tables_number 1
loop_
_symmetry_equiv_pos_as_xyz
'x,y,z'
loop_
_atom_site_label
_atom_site_type_symbol
_atom_site_fract_x
_atom_site_fract_y
_atom_site_fract_z
_atom_site_occupancy
Hg1 Hg 0.000 0.000 0.000 1
Hg2 Hg 0.086 0.359 0.568 1
Hg3 Hg 0.247 0.334 0.943 1
Hg4 Hg 0.578 0.620 0.131 1
Br1 Br 0.484 0.695 0.740 1
Br2 Br 0.747 0.242 0.471 1
F1 F 0.169 0.728 0.327 1
F2 F 0.309 0.293 0.277 1
F3 F 0.617 0.997 0.074 1
F4 F 0.962 0.674 0.971 1
```

Output
* excess energy over the best structure of this formula in the dataset: 0.046 eV/atom
* crystal system: triclinic
* E: -21.9 eV per cell
* formation energy (no corrections): -0.988 eV/atom

***

No. 9
## Hg2BrF2 (PBE)

Data for Hg2BrF2 after structural relaxation.

Structure (CIF):
```
data_Hg2BrF2
_chemical_formula_sum 'Hg4 Br2 F4'
_cell_length_a 11.973
_cell_length_b 5.030
_cell_length_c 3.954
_cell_angle_alpha 90.00
_cell_angle_beta 108.89
_cell_angle_gamma 90.00
_symmetry_space_group_name_H-M 'C 1 2 1'
_symmetry_Int_Tables_number 5
loop_
_symmetry_equiv_pos_as_xyz
'x,y,z'
'-x,y,-z'
'x+1/2,y+1/2,z'
'-x+1/2,y+1/2,-z'
loop_
_atom_site_label
_atom_site_type_symbol
_atom_site_fract_x
_atom_site_fract_y
_atom_site_fract_z
_atom_site_occupancy
Hg1 Hg 0.127 0.000 0.129 1
Br1 Br 0.000 0.499 0.000 1
F1 F 0.221 0.171 0.721 1
```

Output
* excess energy over the best structure of this formula in the dataset: 0.139 eV/atom
* crystal system: monoclinic
* E: -21.0 eV per cell
* formation energy (no corrections): -0.896 eV/atom

***

No. 10
## HgBr3F (PBE)

Data for HgBr3F after structural relaxation.

Structure (CIF):
```
data_HgBr3F
_chemical_formula_sum 'Hg1 Br3 F1'
_cell_length_a 5.464
_cell_length_b 5.464
_cell_length_c 5.464
_cell_angle_alpha 90.00
_cell_angle_beta 90.00
_cell_angle_gamma 90.00
_symmetry_space_group_name_H-M 'P m -3 m'
_symmetry_Int_Tables_number 221
_symmetry_space_group_name_Hall '-P 4 2 3'
loop_
_atom_site_label
_atom_site_type_symbol
_atom_site_fract_x
_atom_site_fract_y
_atom_site_fract_z
_atom_site_occupancy
Hg1 Hg 0.000 0.000 0.000 1
Br1 Br 0.000 0.000 0.500 1
F1 F 0.500 0.500 0.500 1
```

Output
* excess energy over the best structure of this formula in the dataset: 0.000 eV/atom
* crystal system: cubic
* E: -6.5 eV per cell
* formation energy (no corrections): 0.133 eV/atom

***

No. 11
## Hg2BrF2 (PBE)

Data for Hg2BrF2 after structural relaxation.

Structure (CIF):
```
data_Hg2BrF2
_chemical_formula_sum 'Hg4 Br2 F4'
_cell_length_a 6.208
_cell_length_b 6.278
_cell_length_c 7.461
_cell_angle_alpha 67.44
_cell_angle_beta 85.18
_cell_angle_gamma 88.74
_symmetry_space_group_name_H-M 'P 1'
_symmetry_Int_Tables_number 1
loop_
_symmetry_equiv_pos_as_xyz
'x,y,z'
loop_
_atom_site_label
_atom_site_type_symbol
_atom_site_fract_x
_atom_site_fract_y
_atom_site_fract_z
_atom_site_occupancy
Hg1 Hg 0.000 0.000 0.000 1
Hg2 Hg 0.068 0.645 0.686 1
Hg3 Hg 0.533 0.048 0.449 1
Hg4 Hg 0.682 0.446 0.417 1
Br1 Br 0.257 0.267 0.053 1
Br2 Br 0.720 0.745 0.956 1
F1 F 0.220 0.927 0.723 1
F2 F 0.398 0.717 0.468 1
F3 F 0.862 0.764 0.387 1
F4 F 0.884 0.346 0.719 1
```

Output
* excess energy over the best structure of this formula in the dataset: 0.003 eV/atom
* crystal system: triclinic
* E: -22.4 eV per cell
* formation energy (no corrections): -1.031 eV/atom